Record 1
Entry from Alexandria: a geometry-optimized CrCuSb4 structure (PBE).

Computed properties:
DOS at the Fermi energy, states/eV/cell: 2.80
ΔE_f (raw), eV per atom: 0.7727
VASP energy, eV/atom: -4.262

Cell lengths 6.1309, 6.1309, 6.1309 Å; angles 60.00, 60.00, 60.00 degrees
Element x y z (fractional)
Sb  0.3741  0.8778  0.3741
Cu  0.0000  0.0000  0.0000
Sb  0.8778  0.3741  0.3741
Sb  0.3741  0.3741  0.3741
Cr  0.7500  0.7500  0.7500
Sb  0.3741  0.3741  0.8778

---

Record 2
Entry from Alexandria: a geometry-optimized ScCrCu2Sb structure (PBE).

Computed properties:
DOS at the Fermi energy, states/eV/cell: 4.50
ΔE_f (raw), eV per atom: 0.4911
VASP energy, eV/atom: -5.163

Cell lengths 4.5818, 4.8895, 4.5818 Å; angles 90.00, 90.00, 90.00 degrees
Element x y z (fractional)
Sb  0.0000  0.5000  0.0000
Cu  0.0000  0.0000  0.5000
Cr  0.0000  0.0000  0.0000
Cu  0.5000  0.0000  0.0000
Sc  0.5000  0.5000  0.5000

---

Record 3
Entry from Alexandria: a geometry-optimized SrCrCuSb2 structure (PBE).

Computed properties:
ΔE to the lowest computed polymorph, eV/atom: 0.000
DOS at the Fermi energy, states/eV/cell: 7.05
ΔE_f (raw), eV per atom: 0.8766
VASP energy, eV/atom: -3.853

Cell lengths 5.0873, 5.2432, 5.0873 Å; angles 90.00, 90.00, 90.00 degrees
Element x y z (fractional)
Sb  0.5000  0.0000  0.0000
Cr  0.5000  0.5000  0.5000
Cu  0.0000  0.0000  0.0000
Sr  0.0000  0.5000  0.0000
Sb  0.0000  0.0000  0.5000

---

Record 4
Entry from Alexandria: a geometry-optimized SrCrCuSb2 structure (PBE).

Computed properties:
ΔE to the lowest computed polymorph, eV/atom: 0.417
DOS at the Fermi energy, states/eV/cell: 4.39
ΔE_f (raw), eV per atom: 1.2936
VASP energy, eV/atom: -3.436

Cell lengths 5.9379, 5.2739, 5.9379 Å; angles 90.00, 90.00, 90.00 degrees
Element x y z (fractional)
Cu  0.0000  0.5000  0.0000
Sb  0.0000  0.0000  0.5000
Cr  0.5000  0.5000  0.5000
Sr  0.0000  0.0000  0.0000
Sb  0.5000  0.0000  0.0000

---

Record 5
Entry from Alexandria: a geometry-optimized Zr2CrCuSb structure (PBE).

Computed properties:
DOS at the Fermi energy, states/eV/cell: 2.54
ΔE_f (raw), eV per atom: 0.9561
VASP energy, eV/atom: -6.032

Cell lengths 5.3696, 4.6093, 5.3696 Å; angles 90.00, 90.00, 90.00 degrees
Element x y z (fractional)
Cr  0.5000  0.5000  0.5000
Zr  0.0000  0.0000  0.5000
Zr  0.5000  0.0000  0.0000
Cu  0.0000  0.5000  0.0000
Sb  0.0000  0.0000  0.0000

---

Record 6
Entry from Alexandria: a geometry-optimized ScCr2Cu structure (PBE).

Computed properties:
ΔE to the lowest computed polymorph, eV/atom: 0.318
ΔH_f (0 K), eV/atom: 0.4484
DOS at the Fermi energy, states/eV/cell: 4.22
VASP energy, eV/atom: -6.970

Cell lengths 2.5712, 2.5712, 8.3450 Å; angles 90.00, 90.00, 90.03 degrees
Element x y z (fractional)
Cr  0.0000  0.0000  0.4765
Cu  0.5000  0.5000  0.2500
Cr  0.0000  0.0000  0.0235
Sc  0.5000  0.5000  0.7500

---

Record 7
Entry from Alexandria: a geometry-optimized ScCrCu structure (PBE).

Computed properties:
ΔE to the lowest computed polymorph, eV/atom: 0.376
ΔH_f (0 K), eV/atom: 0.3990
DOS at the Fermi energy, states/eV/cell: 2.80
VASP energy, eV/atom: -6.285

Cell lengths 4.3183, 4.3183, 4.3183 Å; angles 60.00, 60.00, 60.00 degrees
Element x y z (fractional)
Cr  0.5000  0.5000  0.5000
Sc  0.0000  0.0000  0.0000
Cu  0.7500  0.7500  0.7500

---

Record 8
Entry from Alexandria: a geometry-optimized ScCr2Cu structure (PBE).

Computed properties:
ΔE to the lowest computed polymorph, eV/atom: 0.088
ΔH_f (0 K), eV/atom: 0.2183
DOS at the Fermi energy, states/eV/cell: 3.06
VASP energy, eV/atom: -7.200

Cell lengths 3.2127, 4.2179, 4.4466 Å; angles 90.00, 90.00, 90.00 degrees
Element x y z (fractional)
Sc  0.0000  0.5000  0.5000
Cr  0.5000  0.5000  0.0000
Cr  0.0000  0.0000  0.0000
Cu  0.5000  0.0000  0.5000

---

Record 9
Entry from Alexandria: a geometry-optimized ScCrCu structure (PBE).

Computed properties:
ΔE to the lowest computed polymorph, eV/atom: 0.080
ΔH_f (0 K), eV/atom: 0.1030
DOS at the Fermi energy, states/eV/cell: 7.94
VASP energy, eV/atom: -6.581

Cell lengths 5.4541, 4.4114, 8.3095 Å; angles 90.00, 100.38, 90.00 degrees
Element x y z (fractional)
Sc  0.0383  0.0000  0.0762
Cu  0.6937  0.5000  0.1636
Cr  0.2071  0.5000  0.2643
Sc  0.7138  0.5000  0.8463
Cu  0.6937  0.0000  0.6636
Sc  0.7138  0.0000  0.3463
Cu  0.5347  0.0000  0.0199
Cr  0.2677  0.0000  0.4483
Cu  0.5347  0.5000  0.5199
Cr  0.2677  0.5000  0.9483
Sc  0.0383  0.5000  0.5762
Cr  0.2071  0.0000  0.7643

---

Record 10
Entry from Alexandria: a geometry-optimized ScCr3Cu structure (PBE).

Computed properties:
ΔE to the lowest computed polymorph, eV/atom: 0.000
ΔH_f (0 K), eV/atom: 1.0508
DOS at the Fermi energy, states/eV/cell: 4.72
VASP energy, eV/atom: -6.809

Cell lengths 4.6051, 4.6051, 4.6051 Å; angles 90.00, 90.00, 90.00 degrees
Element x y z (fractional)
Cr  0.5000  0.0000  0.0000
Sc  0.5000  0.5000  0.5000
Cu  0.0000  0.0000  0.0000
Cr  0.0000  0.0000  0.5000
Cr  0.0000  0.5000  0.0000

---

Record 11
Entry from Alexandria: a geometry-optimized ScCr2Cu structure (PBE).

Computed properties:
ΔE to the lowest computed polymorph, eV/atom: 0.175
ΔH_f (0 K), eV/atom: 0.3049
DOS at the Fermi energy, states/eV/cell: 3.72
VASP energy, eV/atom: -7.114

Cell lengths 2.6932, 2.6932, 8.3058 Å; angles 90.00, 90.00, 110.57 degrees
Element x y z (fractional)
Cr  0.5000  0.5000  0.2348
Sc  0.5000  0.5000  0.7556
Cu  0.0000  0.0000  0.4782
Cr  0.0000  0.0000  0.0314

---

Record 12
Entry from Alexandria: a geometry-optimized ScCr3Cu structure (PBE).

Computed properties:
ΔE to the lowest computed polymorph, eV/atom: 1.003
ΔH_f (0 K), eV/atom: 2.0543
DOS at the Fermi energy, states/eV/cell: 6.86
VASP energy, eV/atom: -5.805

Cell lengths 4.2755, 4.2755, 4.2755 Å; angles 90.00, 90.00, 90.00 degrees
Element x y z (fractional)
Cu  0.5000  0.5000  0.5000
Sc  0.0000  0.0000  0.0000
Cr  0.0000  0.5000  0.0000
Cr  0.0000  0.0000  0.5000
Cr  0.5000  0.0000  0.0000

---

Record 13
Entry from Alexandria: a geometry-optimized ScCr2Cu structure (PBE).

Computed properties:
ΔE to the lowest computed polymorph, eV/atom: 0.290
ΔH_f (0 K), eV/atom: 0.4196
DOS at the Fermi energy, states/eV/cell: 5.21
VASP energy, eV/atom: -6.999

Cell lengths 4.8043, 5.1801, 2.5915 Å; angles 79.75, 81.04, 115.14 degrees
Element x y z (fractional)
Cr  0.0000  0.0000  0.0000
Cr  0.5000  0.0000  0.5000
Sc  0.5000  0.5000  0.0000
Cu  0.0000  0.5000  0.5000

---

Record 14
Entry from Alexandria: a geometry-optimized ScCr2Cu structure (PBE).

Computed properties:
ΔE to the lowest computed polymorph, eV/atom: 0.319
ΔH_f (0 K), eV/atom: 0.4490
DOS at the Fermi energy, states/eV/cell: 3.15
VASP energy, eV/atom: -6.970

Cell lengths 4.4893, 4.4893, 4.4893 Å; angles 60.00, 60.00, 60.00 degrees
Element x y z (fractional)
Cr  0.2500  0.2500  0.2500
Sc  0.0000  0.0000  0.0000
Cu  0.5000  0.5000  0.5000
Cr  0.7500  0.7500  0.7500

---

Record 15
Entry from Alexandria: a geometry-optimized ScCr2Cu structure (PBE).

Computed properties:
ΔE to the lowest computed polymorph, eV/atom: 0.260
ΔH_f (0 K), eV/atom: 0.3901
DOS at the Fermi energy, states/eV/cell: 3.60
VASP energy, eV/atom: -7.029

Cell lengths 4.4799, 4.4799, 5.0898 Å; angles 85.72, 85.72, 33.71 degrees
Element x y z (fractional)
Cr  0.7648  0.7648  0.7783
Cr  0.0034  0.0034  0.9519
Sc  0.2397  0.2397  0.2633
Cu  0.4921  0.4921  0.5065